# 1
# DySc (PBE, optimized geometry)
data_DySc
_chemical_formula_sum 'Dy4 Sc4'
_space_group_name_H-M_alt 'F -4 3 m'
_space_group_IT_number 216
_space_group_name_Hall 'F -4 2 3'
_cell_length_a 6.547
_cell_length_b 6.547
_cell_length_c 6.547
_cell_angle_alpha 90.00
_cell_angle_beta 90.00
_cell_angle_gamma 90.00
loop_
_atom_site_label
_atom_site_type_symbol
_atom_site_fract_x
_atom_site_fract_y
_atom_site_fract_z
_atom_site_occupancy
Dy1 Dy 0.000 0.000 0.000 1
Sc1 Sc 0.250 0.250 0.750 1
# formation energy = 1.966 eV per atom



# 2
# Zr4Nb2Cu3N3 (PBE, optimized geometry)
data_Zr4Nb2Cu3N3
_chemical_formula_sum 'Zr16 Nb8 Cu12 N12'
_space_group_name_H-M_alt 'C 1 2/c 1'
_space_group_IT_number 15
_cell_length_a 9.723
_cell_length_b 5.607
_cell_length_c 13.569
_cell_angle_alpha 90.00
_cell_angle_beta 104.22
_cell_angle_gamma 90.00
loop_
_space_group_symop_operation_xyz
'x,y,z'
'-x,-y,-z'
'-x,y,-z+1/2'
'x,-y,z+1/2'
'x+1/2,y+1/2,z'
'-x+1/2,-y+1/2,-z'
'-x+1/2,y+1/2,-z+1/2'
'x+1/2,-y+1/2,z+1/2'
loop_
_atom_site_label
_atom_site_type_symbol
_atom_site_fract_x
_atom_site_fract_y
_atom_site_fract_z
_atom_site_occupancy
Zr1 Zr 0.119 0.078 0.104 1
Zr2 Zr 0.212 0.087 0.395 1
Nb1 Nb 0.059 0.415 0.924 1
Cu1 Cu 0.000 0.152 0.750 1
Cu2 Cu 0.132 0.452 0.250 1
N1 N 0.087 0.239 0.500 1
N2 N 0.250 0.250 0.000 1
# raw total energy = -396.70 eV for the cell shown



Q: Which formula does entry 2 have?
A: Zr4Nb2Cu3N3